Entry 1:
# GGA-PBE La2PuIn, optimized geometry
# - Space group: Fm-3m
# - E_tot: -6.83 eV per atom
# - Energy above the most stable polymorph in this dataset: 0.0640 eV/atom
# - Calculated density: 8.528 Mg/m³
# - Spin magnetization: 1.70 μB/atom
# - E_form: -102 meV/atom
data_La2PuIn
_space_group_name_H-M_alt 'P 1'
_space_group_IT_number 1
_space_group_name_Hall 'P 1'
_cell_length_a 5.597
_cell_length_b 5.597
_cell_length_c 5.597
_cell_angle_alpha 60.00
_cell_angle_beta 60.00
_cell_angle_gamma 60.00
loop_
_atom_site_label
_atom_site_fract_x
_atom_site_fract_y
_atom_site_fract_z
La1 0.750 0.750 0.750
Pu1 0.000 0.000 0.000
In1 0.500 0.500 0.500
La2 0.250 0.250 0.250


Entry 2:
# GGA-PBE La2PuIn, optimized geometry
# - Space group: R-3m
# - E_tot: -6.61 eV per atom
# - Energy above the most stable polymorph in this dataset: 0.2922 eV/atom
# - Calculated density: 8.372 Mg/m³
# - Spin magnetization: 1.50 μB/atom
# - E_form: 126 meV/atom
data_La2PuIn
_space_group_name_H-M_alt 'P 1'
_space_group_IT_number 1
_space_group_name_Hall 'P 1'
_cell_length_a 3.463
_cell_length_b 3.463
_cell_length_c 12.324
_cell_angle_alpha 81.92
_cell_angle_beta 81.92
_cell_angle_gamma 60.00
loop_
_atom_site_label
_atom_site_fract_x
_atom_site_fract_y
_atom_site_fract_z
La1 0.090 0.090 0.730
La2 0.910 0.910 0.270
In1 0.500 0.500 0.500
Pu1 0.000 0.000 0.000


Entry 3:
# GGA-PBE LaPuIn4, optimized geometry
# - Space group: P2/m
# - E_tot: -5.36 eV per atom
# - Energy above the most stable polymorph in this dataset: 0.0000 eV/atom
# - Calculated density: 8.619 Mg/m³
# - Spin magnetization: 1.01 μB/atom
# - E_form: -322 meV/atom
data_LaPuIn4
_space_group_name_H-M_alt 'P 1'
_space_group_IT_number 1
_space_group_name_Hall 'P 1'
_cell_length_a 3.616
_cell_length_b 5.078
_cell_length_c 8.836
_cell_angle_alpha 90.00
_cell_angle_beta 90.01
_cell_angle_gamma 90.00
loop_
_atom_site_label
_atom_site_fract_x
_atom_site_fract_y
_atom_site_fract_z
In1 0.998 0.500 0.831
Pu1 0.500 0.500 0.500
La1 0.500 0.000 0.000
In2 0.002 0.500 0.169
In3 0.998 0.000 0.336
In4 0.002 0.000 0.664